# BaLa3TiCr3O12

A geometry-optimized BaLa3TiCr3O12 structure (GGA+U, Alexandria).

Calculated values
- relative energy among the computed polymorphs (meV/atom) = 30
- DOS at the Fermi energy (states/eV/atom) = 0.00
- uncorrected energy (eV/atom) = -8.1307

a = 3.953 Å, b = 5.620 Å, c = 11.128 Å
α = 90.00°, β = 90.00°, γ = 90.00°
Space group Pmmm (No. 47)
Symmetry-distinct sites (fractional):
Ba1 0.000 0.000 0.000 x1
La1 0.000 0.000 0.500 x1
La2 0.000 0.500 0.258 x2
Ti1 0.500 0.500 0.000 x1
Cr1 0.500 0.000 0.251 x2
Cr2 0.500 0.500 0.500 x1
O1 0.000 0.000 0.264 x2
O2 0.000 0.500 0.000 x1
O3 0.000 0.500 0.500 x1
O4 0.500 0.252 0.375 x4
O5 0.500 0.264 0.130 x4